# 1
PmSm6Cd2: relaxed, PBE.

* E: -36.077 eV per cell
* excess energy over the best structure of this formula in the dataset: 0 meV/atom
* crystal system: monoclinic
* energy of formation: -0.13 eV/atom
* space group: C2/m

a b c (Å): 3.8138 6.7021 11.9569
angles (deg): 75.44 80.82 73.47
Element x y z (fractional)
Pm  0.0000  0.0000  0.0000
Sm  0.6848  0.5067  0.1237
Sm  0.3152  0.4933  0.8763
Sm  0.3115  0.7912  0.5859
Sm  0.9824  0.6956  0.3396
Sm  0.0176  0.3044  0.6604
Sm  0.6885  0.2088  0.4141
Cd  0.3535  0.0850  0.2080
Cd  0.6465  0.9150  0.7920

***

# 2
Y4MgSe: relaxed, PBE.

* E: -29.441 eV per cell
* uncorrected formation energy: 5.7 kcal/mol of atoms
* crystal system: cubic
* space group: F-43m

a b c (Å): 6.4025 6.4025 6.4025
angles (deg): 60.00 60.00 60.00
Element x y z (fractional)
Y  0.8722  0.3759  0.3759
Y  0.3759  0.3759  0.8722
Y  0.3759  0.8722  0.3759
Y  0.3759  0.3759  0.3759
Mg  0.7500  0.7500  0.7500
Se  0.0000  0.0000  0.0000